[1]
## Cs2Sb (GGA-PBE)

Data for crystalline Cs2Sb at its relaxed geometry.

- Uncorrected formation energy: -0.405 eV/atom
- Symmetry: Pnma (62)
- Calculated density: 4.23 Mg/m³
- Magnetic moment: 0.00 Bohr magnetons per cell
- Excess energy over the best structure of this formula in the dataset: 0.0 meV per atom

```
Cs2Sb
1.0
-0.311 -4.691 -4.472
10.416 -3.417 2.860
-6.467 -10.294 11.249
Sb Cs
8 16
direct
0.250 0.918 0.656
0.250 0.948 0.834
0.250 0.582 0.156
0.750 0.052 0.166
0.250 0.552 0.334
0.750 0.418 0.844
0.750 0.448 0.666
0.750 0.082 0.344
0.250 0.605 0.792
0.750 0.842 0.514
0.750 0.105 0.708
0.250 0.895 0.292
0.750 0.772 0.759
0.250 0.158 0.486
0.750 0.658 0.014
0.250 0.272 0.741
0.750 0.395 0.208
0.750 0.409 0.443
0.750 0.728 0.259
0.250 0.909 0.057
0.250 0.591 0.557
0.250 0.228 0.241
0.250 0.342 0.986
0.750 0.091 0.943
```

---

[2]
## Mg6CuRh (GGA-PBE)

Data for crystalline Mg6CuRh at its relaxed geometry.

- Symmetry: C2/m (12)
- Calculated density: 3.09 Mg/m³
- Magnetic moment: 0.00 Bohr magnetons per cell
- Energy of formation: 2.5 meV per atom

```
Mg6CuRh
1.0
6.068 0.509 0.000
1.998 5.541 0.000
0.999 2.771 5.143
Mg Cu Rh
6 1 1
direct
0.252 0.248 0.000
0.253 0.948 0.609
0.748 0.752 0.000
0.747 0.444 0.609
0.747 0.052 0.391
0.253 0.556 0.391
0.000 0.000 0.000
0.500 0.500 0.000
```

---

[3]
## Ac2Mg6Ga3 (GGA-PBE)

Data for crystalline Ac2Mg6Ga3 at its relaxed geometry.

- Symmetry: P-62m (189)
- Calculated density: 4.75 Mg/m³
- Magnetic moment: 0.00 Bohr magnetons per cell
- Energy of formation: -267.5 meV per atom

```
Ac2Mg6Ga3
1.0
-0.013 -3.698 2.679
7.111 -2.702 -3.696
0.410 4.956 6.842
Ac Mg Ga
2 6 3
direct
0.000 0.333 0.667
0.000 0.667 0.333
0.500 0.713 0.713
0.500 0.287 0.000
0.000 0.205 0.205
0.500 0.000 0.287
0.000 0.795 0.000
0.000 0.000 0.795
0.500 0.383 0.383
0.500 0.617 0.000
0.500 0.000 0.617
```

---

[4]
## Ce2Ge4Rh3Au (GGA-PBE)

Data for crystalline Ce2Ge4Rh3Au at its relaxed geometry.

- Symmetry: P-4m2 (115)
- Calculated density: 9.48 Mg/m³
- Magnetic moment: 1.12 Bohr magnetons per cell
- Energy of formation: -750.7 meV per atom

```
Ce2Ge4Rh3Au
1.0
-1.085 -4.166 -0.205
3.178 -0.689 -2.829
6.361 -2.032 7.640
Rh Ce Ge Au
3 2 4 1
direct
0.000 0.500 0.122
0.000 0.000 0.500
0.500 0.000 0.878
0.500 0.000 0.240
0.000 0.500 0.760
0.500 0.000 0.640
0.000 0.000 0.000
0.500 0.500 0.000
0.000 0.500 0.360
0.500 0.500 0.500
```

---

[5]
## Tb2Ga2Pt (GGA-PBE)

Data for crystalline Tb2Ga2Pt at its relaxed geometry.

- Symmetry: C2/m (12)
- Calculated density: 9.94 Mg/m³
- Magnetic moment: 0.00 Bohr magnetons per cell
- Energy of formation: -899.7 meV per atom

```
Tb2Ga2Pt
1.0
4.207 0.000 0.991
2.011 5.320 0.890
-0.067 -0.153 9.713
Ga Tb Pt
4 4 2
direct
0.026 0.838 0.110
0.144 0.263 0.449
0.856 0.737 0.551
0.974 0.162 0.890
0.311 0.259 0.120
0.689 0.741 0.880
0.508 0.313 0.672
0.492 0.687 0.328
0.775 0.114 0.336
0.225 0.886 0.664
```

---

[6]
## PmTmSiPt (GGA-PBE)

Data for crystalline PmTmSiPt at its relaxed geometry.

- Uncorrected formation energy: -1.005 eV/atom
- Symmetry: Amm2 (38)
- Calculated density: 9.79 Mg/m³
- Magnetic moment: 0.00 Bohr magnetons per cell
- Excess energy over the best structure of this formula in the dataset: 0.0 meV per atom

```
PmTmSiPt
1.0
-3.926 -0.665 -0.572
0.906 -3.223 -2.473
1.898 -2.993 4.596
Si Pt Tm Pm
1 1 1 1
direct
0.571 0.500 0.142
0.421 0.000 0.842
0.864 0.500 0.727
0.144 0.000 0.288
```

---

[7]
## MgBrCl2 (GGA-PBE)

Data for crystalline MgBrCl2 at its relaxed geometry.

- Uncorrected formation energy: -0.468 eV/atom
- Symmetry: F-43m (216)
- Calculated density: 3.29 Mg/m³
- Magnetic moment: 1.04 Bohr magnetons per cell
- Excess energy over the best structure of this formula in the dataset: 716.4 meV per atom

```
MgBrCl2
1.0
-3.881 2.195 2.265
-2.450 -2.395 3.643
0.420 1.553 4.735
Mg Cl Br
1 2 1
direct
0.750 0.750 0.750
0.000 0.000 0.000
0.250 0.250 0.250
0.500 0.500 0.500
```

---

[8]
## NaLaIr2 (GGA-PBE)

Data for crystalline NaLaIr2 at its relaxed geometry.

- Symmetry: Fm-3m (225)
- Calculated density: 11.28 Mg/m³
- Magnetic moment: 0.00 Bohr magnetons per cell
- Excess energy over the best structure of this formula in the dataset: 0.0 meV per atom
- Energy of formation: 109.1 meV per atom

```
NaLaIr2
1.0
0.000 3.426 3.426
3.426 0.000 3.426
3.426 3.426 0.000
La Ir Na
1 2 1
direct
0.500 0.500 0.500
0.250 0.250 0.250
0.750 0.750 0.750
0.000 0.000 0.000
```

---

[9]
## MnCuIr (GGA-PBE)

Data for crystalline MnCuIr at its relaxed geometry.

- Symmetry: I4mm (107)
- Calculated density: 13.36 Mg/m³
- Magnetic moment: 2.88 Bohr magnetons per cell
- Excess energy over the best structure of this formula in the dataset: 69.5 meV per atom
- Energy of formation: 75.9 meV per atom

```
MnCuIr
1.0
-2.454 0.771 -0.773
-1.089 -1.851 1.613
-0.276 7.119 7.984
Mn Ir Cu
2 2 2
direct
0.000 0.000 0.010
0.500 0.500 0.510
0.500 0.500 0.164
0.000 0.000 0.664
0.500 0.500 0.844
0.000 0.000 0.344
```

---

[10]
## Sr3In (GGA-PBE)

Data for crystalline Sr3In at its relaxed geometry.

- Symmetry: Pm-3n (223)
- Calculated density: 3.81 Mg/m³
- Magnetic moment: 1.38 Bohr magnetons per cell
- Energy of formation: -89.9 meV per atom

```
Sr3In
1.0
-0.195 -5.789 -3.762
6.461 -1.480 1.943
-2.435 -3.464 5.457
In Sr
2 6
direct
0.000 0.000 0.000
0.500 0.500 0.500
0.000 0.750 0.500
0.500 0.000 0.750
0.750 0.500 0.000
0.500 0.000 0.250
0.000 0.250 0.500
0.250 0.500 0.000
```

---

[11]
## Nd6Dy8Cd (GGA-PBE)

Data for crystalline Nd6Dy8Cd at its relaxed geometry.

- Symmetry: P-3 (147)
- Calculated density: 7.62 Mg/m³
- Magnetic moment: 0.00 Bohr magnetons per cell
- Energy of formation: 79.8 meV per atom

```
Nd6Dy8Cd
1.0
-3.847 -3.489 3.627
7.111 -6.093 1.682
-1.336 7.457 5.755
Nd Dy Cd
6 8 1
direct
0.311 0.547 0.637
0.689 0.909 0.547
0.689 0.637 0.091
0.311 0.363 0.909
0.311 0.091 0.453
0.689 0.453 0.363
0.808 0.739 0.779
0.820 0.333 0.667
0.192 0.959 0.739
0.192 0.261 0.221
0.808 0.221 0.959
0.192 0.779 0.041
0.808 0.041 0.261
0.180 0.667 0.333
0.500 0.000 0.000
```

---

[12]
## TaTlSCl2 (GGA-PBE)

Data for crystalline TaTlSCl2 at its relaxed geometry.

- Uncorrected formation energy: -0.666 eV/atom
- Symmetry: P4/mmm (123)
- Calculated density: 6.77 Mg/m³
- Magnetic moment: 0.46 Bohr magnetons per cell
- Excess energy over the best structure of this formula in the dataset: 0.0 meV per atom

```
TaTlSCl2
1.0
-4.035 2.668 1.188
-2.034 -4.021 2.123
2.032 1.197 4.215
Cl S Tl Ta
2 1 1 1
direct
0.500 0.000 0.000
0.000 0.500 0.000
0.000 0.000 0.500
0.500 0.500 0.500
0.000 0.000 0.000
```

---

[13]
## NaZrP2S8 (GGA-PBE)

Data for crystalline NaZrP2S8 at its relaxed geometry.

- Uncorrected formation energy: -0.501 eV/atom
- Symmetry: P-3 (147)
- Calculated density: 2.55 Mg/m³
- Magnetic moment: 0.95 Bohr magnetons per cell

```
NaZrP2S8
1.0
-5.216 -2.905 1.080
3.666 1.465 4.607
-4.147 7.756 0.834
S Na P Zr
8 1 2 1
direct
0.333 0.667 0.967
0.001 0.343 0.673
0.658 0.001 0.327
0.999 0.657 0.327
0.342 0.999 0.673
0.667 0.333 0.033
0.657 0.658 0.673
0.343 0.342 0.327
0.000 0.000 0.000
0.667 0.333 0.262
0.333 0.667 0.738
0.000 0.000 0.500
```

---

[14]
## YEr6 (GGA-PBE)

Data for crystalline YEr6 at its relaxed geometry.

- Symmetry: P4/nbm (125)
- Calculated density: 8.02 Mg/m³
- Magnetic moment: 0.00 Bohr magnetons per cell
- Excess energy over the best structure of this formula in the dataset: 0.0 meV per atom
- Energy of formation: 259.7 meV per atom

```
YEr6
1.0
6.446 0.000 0.000
0.000 6.446 0.000
0.000 0.000 10.882
Y Er
2 12
direct
0.000 0.500 0.000
0.500 0.000 0.000
0.832 0.332 0.637
0.168 0.332 0.363
0.500 0.500 0.141
0.500 0.500 0.859
0.000 0.000 0.859
0.832 0.668 0.363
0.668 0.168 0.363
0.000 0.000 0.141
0.332 0.168 0.637
0.168 0.668 0.637
0.332 0.832 0.363
0.668 0.832 0.637
```

---

[15]
## HfBAu (GGA-PBE)

Data for crystalline HfBAu at its relaxed geometry.

- Symmetry: P3m1 (156)
- Calculated density: 13.84 Mg/m³
- Magnetic moment: 0.00 Bohr magnetons per cell
- Energy of formation: -370.5 meV per atom

```
HfBAu
1.0
3.175 0.000 0.000
1.588 2.750 0.000
0.003 -0.005 10.615
Au Hf B
2 2 2
direct
0.884 0.049 0.974
0.216 0.383 0.749
0.883 0.050 0.539
0.217 0.382 0.185
0.217 0.383 0.398
0.550 0.716 0.369
```

---

[16]
## Nb3CuSb (GGA-PBE)

Data for crystalline Nb3CuSb at its relaxed geometry.

- Uncorrected formation energy: 1.722 eV/atom
- Symmetry: Pm-3m (221)
- Calculated density: 6.06 Mg/m³
- Magnetic moment: 0.00 Bohr magnetons per cell
- Excess energy over the best structure of this formula in the dataset: 913.0 meV per atom

```
Nb3CuSb
1.0
5.029 0.000 0.000
0.000 5.029 0.000
0.000 0.000 5.029
Nb Sb Cu
3 1 1
direct
0.000 0.500 0.000
0.500 0.000 0.000
0.000 0.000 0.500
0.000 0.000 0.000
0.500 0.500 0.500
```

---

[17]
## ScNbIr2 (GGA-PBE)

Data for crystalline ScNbIr2 at its relaxed geometry.

- Symmetry: P4/mmm (123)
- Calculated density: 12.99 Mg/m³
- Magnetic moment: 0.00 Bohr magnetons per cell
- Energy of formation: -649.3 meV per atom

```
ScNbIr2
1.0
2.980 0.000 0.000
0.000 4.734 0.000
0.000 0.000 4.734
Sc Nb Ir
1 1 2
direct
0.500 0.000 0.000
0.500 0.500 0.500
0.000 0.000 0.500
0.000 0.500 0.000
```

---

[18]
## YCd2Mo (GGA-PBE)

Data for crystalline YCd2Mo at its relaxed geometry.

- Symmetry: P4/mmm (123)
- Calculated density: 8.14 Mg/m³
- Magnetic moment: 0.03 Bohr magnetons per cell
- Excess energy over the best structure of this formula in the dataset: 61.2 meV per atom
- Energy of formation: 258.7 meV per atom

```
YCd2Mo
1.0
-0.293 0.098 2.993
2.990 -0.151 0.298
0.492 9.215 -0.255
Mo Y Cd
1 1 2
direct
0.500 0.500 0.250
0.500 0.500 0.750
0.000 0.000 0.021
0.000 0.000 0.479
```

---

[19]
## ScCrAs2Br (GGA-PBE)

Data for crystalline ScCrAs2Br at its relaxed geometry.

- Uncorrected formation energy: 0.015 eV/atom
- Symmetry: P4/mmm (123)
- Calculated density: 4.80 Mg/m³
- Magnetic moment: 2.76 Bohr magnetons per cell
- Excess energy over the best structure of this formula in the dataset: 0.0 meV per atom

```
ScCrAs2Br
1.0
4.746 0.000 0.000
0.000 4.746 0.000
0.000 0.000 5.020
Sc As Cr Br
1 2 1 1
direct
0.500 0.500 0.500
0.000 0.500 0.000
0.500 0.000 0.000
0.000 0.000 0.000
0.000 0.000 0.500
```

---

[20]
## PmVIr2 (GGA-PBE)

Data for crystalline PmVIr2 at its relaxed geometry.

- Symmetry: R-3m (166)
- Calculated density: 12.04 Mg/m³
- Magnetic moment: 0.00 Bohr magnetons per cell
- Energy of formation: -394.5 meV per atom

```
PmVIr2
1.0
4.222 0.000 0.000
2.111 3.656 0.000
2.111 1.219 5.184
Ir Pm V
2 1 1
direct
0.792 0.792 0.625
0.208 0.208 0.375
0.000 0.000 0.000
0.500 0.500 0.500
```

---

[21]
## Rb4Pr3TiTe8 (GGA-PBE)

Data for crystalline Rb4Pr3TiTe8 at its relaxed geometry.

- Uncorrected formation energy: -1.223 eV/atom
- Symmetry: R-3m (166)
- Calculated density: 4.91 Mg/m³
- Magnetic moment: 1.00 Bohr magnetons per cell

```
Rb4Pr3TiTe8
1.0
9.139 0.000 0.000
0.000 10.043 0.632
-4.570 -4.567 6.464
Pr Te Rb Ti
3 8 4 1
direct
0.500 0.500 0.500
0.000 0.500 0.500
0.500 0.500 0.000
0.757 0.696 0.977
0.781 0.304 0.023
0.219 0.696 0.439
0.219 0.696 0.977
0.737 0.710 0.474
0.243 0.304 0.023
0.781 0.304 0.561
0.263 0.290 0.526
0.500 0.000 0.000
0.500 0.000 0.500
0.000 0.000 0.500
0.000 0.000 0.000
0.000 0.500 0.000
```